1.
# AlAg2Te, optimized geometry, DFT PBE
# Offset from the most stable computed form in eV per atom: 0.158
data_AlAg2Te
_cell_length_a 5.950
_cell_length_b 8.801
_cell_length_c 3.201
_cell_angle_alpha 90.00
_cell_angle_beta 90.00
_cell_angle_gamma 90.00
_space_group_name_H-M_alt 'C m m m'
_space_group_IT_number 65
_space_group_name_Hall '-C 2 2'
loop_
_atom_site_label
_atom_site_type_symbol
_atom_site_fract_x
_atom_site_fract_y
_atom_site_fract_z
_atom_site_occupancy
Al1 Al 0.000 0.000 0.000 1
Ag1 Ag 0.250 0.250 0.500 1
Te1 Te 0.000 0.500 0.000 1



2.
# CdSiMoBr, optimized geometry, DFT PBE
# Offset from the most stable computed form in eV per atom: 0.271
data_CdSiMoBr
_cell_length_a 2.995
_cell_length_b 6.236
_cell_length_c 7.214
_cell_angle_alpha 109.50
_cell_angle_beta 94.33
_cell_angle_gamma 90.15
_space_group_name_H-M_alt 'P 1'
_space_group_IT_number 1
loop_
_space_group_symop_operation_xyz
'x,y,z'
loop_
_atom_site_label
_atom_site_type_symbol
_atom_site_fract_x
_atom_site_fract_y
_atom_site_fract_z
_atom_site_occupancy
Cd1 Cd 0.000 0.000 0.000 1
Si1 Si 0.000 0.574 0.977 1
Mo1 Mo 0.467 0.256 0.805 1
Br1 Br 0.911 0.094 0.502 1



3.
## Ce3ZnSi6Pt2 (PBE)

Data for a relaxed structure of Ce3ZnSi6Pt2.

```
data_Ce3ZnSi6Pt2
_cell_length_a 5.3490
_cell_length_b 5.3490
_cell_length_c 9.3213
_cell_angle_alpha 90.00
_cell_angle_beta 90.00
_cell_angle_gamma 120.00
_space_group_name_H-M_alt 'P -3 m 1'
_space_group_IT_number 164
_space_group_name_Hall '-P 3 2"'
loop_
_atom_site_label
_atom_site_type_symbol
_atom_site_fract_x
_atom_site_fract_y
_atom_site_fract_z
_atom_site_occupancy
Ce1 Ce 0.0000 0.0000 0.0000 1
Ce2 Ce 0.3333 0.6667 0.5771 1
Zn1 Zn 0.0000 0.0000 0.5000 1
Si1 Si 0.1689 0.3377 0.2801 1
Pt1 Pt 0.3333 0.6667 0.0723 1
```



Values for formation energy from raw total energies, eV/atom, ordered as above
0.20, 0.33, -0.45